No. 1
TcNiPb2 | PBE-GGA | optimized geometry

uncorrected energy	-5.261	eV/atom
polymorph energy (0 for the lowest one)	6.431	kcal/mol of atoms

Cell: 4.760 4.760 4.760 Å, 60.00 60.00 60.00°
Atoms (fractional coordinates):
1 Tc 0.000 0.000 0.000
2 Ni 0.500 0.500 0.500
3 Pb 0.250 0.250 0.250
4 Pb 0.750 0.750 0.750



No. 2
VTcNi2Pb | PBE-GGA | optimized geometry

uncorrected energy	-5.989	eV/atom

Cell: 4.643 4.643 4.416 Å, 90.00 90.00 90.00°
Atoms (fractional coordinates):
1 V 0.000 0.000 0.000
2 Tc 0.000 0.000 0.500
3 Ni 0.000 0.500 0.500
4 Ni 0.500 0.000 0.500
5 Pb 0.500 0.500 0.000



No. 3
NiTe2Pb | PBE-GGA | optimized geometry

uncorrected energy	-3.547	eV/atom
formation energy (no corrections)	0.396	eV per atom

Cell: 6.256 6.256 6.256 Å, 139.12 139.12 59.19°
Atoms (fractional coordinates):
1 Ni 0.000 0.000 0.000
2 Te 0.500 0.500 0.000
3 Te 0.750 0.250 0.500
4 Pb 0.250 0.750 0.500



No. 4
NiTe2Pb | PBE-GGA | optimized geometry

uncorrected energy	-3.460	eV/atom
formation energy (no corrections)	0.484	eV per atom

Cell: 5.209 5.209 5.209 Å, 60.00 60.00 60.00°
Atoms (fractional coordinates):
1 Ni 0.000 0.000 0.000
2 Te 0.500 0.500 0.500
3 Te 0.750 0.750 0.750
4 Pb 0.250 0.250 0.250



No. 5
NiTePb2 | PBE-GGA | optimized geometry

uncorrected energy	-3.916	eV/atom
formation energy (no corrections)	0.169	eV per atom

Cell: 7.943 7.943 7.943 Å, 131.98 131.98 70.27°
Atoms (fractional coordinates):
1 Ni 0.000 0.000 0.000
2 Ni 0.750 0.250 0.500
3 Te 0.250 0.750 0.500
4 Te 0.500 0.500 0.000
5 Pb 0.049 0.625 0.924
6 Pb 0.375 0.299 0.424
7 Pb 0.701 0.125 0.076
8 Pb 0.875 0.951 0.576



No. 6
NiTePb2 | PBE-GGA | optimized geometry

uncorrected energy	-3.749	eV/atom
formation energy (no corrections)	0.336	eV per atom

Cell: 5.939 5.939 5.939 Å, 135.23 135.23 65.17°
Atoms (fractional coordinates):
1 Ni 0.000 0.000 0.000
2 Te 0.500 0.500 0.000
3 Pb 0.250 0.750 0.500
4 Pb 0.750 0.250 0.500



No. 7
NiTe2Pb | PBE-GGA | optimized geometry

uncorrected energy	-3.995	eV/atom
formation energy (no corrections)	-0.052	eV per atom

Cell: 4.682 3.937 6.389 Å, 90.00 105.11 90.00°
Atoms (fractional coordinates):
1 Ni 0.000 0.000 0.000
2 Te 0.039 0.500 0.246
3 Te 0.783 0.000 0.611
4 Pb 0.419 0.500 0.862



No. 8
NiTe2Pb | PBE-GGA | optimized geometry

uncorrected energy	-3.616	eV/atom
formation energy (no corrections)	0.328	eV per atom

Cell: 12.148 12.148 12.148 Å, 15.44 15.44 15.44°
Atoms (fractional coordinates):
1 Ni 0.000 0.000 0.000
2 Te 0.068 0.068 0.068
3 Te 0.932 0.932 0.932
4 Pb 0.500 0.500 0.500